# PBE KAg2As, relaxed
# Calculated formation energy = 25.2 meV per atom
# DOS at the Fermi energy = 0.468 states/eV/atom
# V = 198 Å³ per cell
# Total magnetic moment = 0.00 μB per formula unit
# Total DFT energy (no corrections) = -22.7 eV for the cell shown
data_KAg2As
_cell_length_a 4.585
_cell_length_b 3.197
_cell_length_c 13.527
_cell_angle_alpha 90.00
_cell_angle_beta 90.00
_cell_angle_gamma 90.00
_space_group_name_H-M_alt 'A m m 2'
_space_group_IT_number 38
loop_
_space_group_symop_operation_xyz
'x,y,z'
'-x,-y,z'
'-x,y,z'
'x,-y,z'
'x,y+1/2,z+1/2'
'-x,-y+1/2,z+1/2'
'-x,y+1/2,z+1/2'
'x,-y+1/2,z+1/2'
loop_
_atom_site_label
_atom_site_fract_x
_atom_site_fract_y
_atom_site_fract_z
_atom_site_occupancy
K1 0.000 0.000 0.000 1
Ag1 0.000 0.000 0.258 1
Ag2 0.500 0.000 0.689 1
As1 0.500 0.000 0.357 1